Model P:
Density functional theory data (GGA-PBE) for a relaxed structure of Si2PbCl.

Geometry as CIF:
```
data_Si2PbCl
_chemical_formula_sum 'Si4 Pb2 Cl2'
_space_group_name_H-M_alt 'C 1 m 1'
_space_group_IT_number 8
_cell_length_a 6.778
_cell_length_b 3.912
_cell_length_c 7.982
_cell_angle_alpha 90.00
_cell_angle_beta 106.35
_cell_angle_gamma 90.00
loop_
_space_group_symop_operation_xyz
'x,y,z'
'x,-y,z'
'x+1/2,y+1/2,z'
'x+1/2,-y+1/2,z'
loop_
_atom_site_label
_atom_site_type_symbol
_atom_site_fract_x
_atom_site_fract_y
_atom_site_fract_z
Si1 Si 0.000 0.000 0.000
Si2 Si 0.197 0.500 0.092
Pb1 Pb 0.459 0.000 0.382
Cl1 Cl 0.208 0.000 0.627
```

Model Q:
Density functional theory data (GGA-PBE) for a relaxed structure of Si2PbCl.

Geometry as CIF:
```
data_Si2PbCl
_chemical_formula_sum 'Si8 Pb4 Cl4'
_space_group_name_H-M_alt 'F -4 3 m'
_space_group_IT_number 216
_space_group_name_Hall 'F -4 2 3'
_cell_length_a 6.973
_cell_length_b 6.973
_cell_length_c 6.973
_cell_angle_alpha 90.00
_cell_angle_beta 90.00
_cell_angle_gamma 90.00
loop_
_atom_site_label
_atom_site_type_symbol
_atom_site_fract_x
_atom_site_fract_y
_atom_site_fract_z
Si1 Si 0.000 0.000 0.000
Si2 Si 0.250 0.250 0.250
Pb1 Pb 0.000 0.000 0.500
Cl1 Cl 0.250 0.250 0.750
```

Bottom line: model P, by a margin of 472 meV/atom.

Model P:
Density functional theory data (GGA-PBE) for a relaxed structure of SiPb2Cl.

Geometry as CIF:
```
data_SiPb2Cl
_chemical_formula_sum 'Si4 Pb8 Cl4'
_space_group_name_H-M_alt 'F m -3 m'
_space_group_IT_number 225
_space_group_name_Hall '-F 4 2 3'
_cell_length_a 7.377
_cell_length_b 7.377
_cell_length_c 7.377
_cell_angle_alpha 90.00
_cell_angle_beta 90.00
_cell_angle_gamma 90.00
loop_
_atom_site_label
_atom_site_type_symbol
_atom_site_fract_x
_atom_site_fract_y
_atom_site_fract_z
Si1 Si 0.000 0.000 0.000
Pb1 Pb 0.250 0.250 0.250
Cl1 Cl 0.000 0.000 0.500
```

Model Q:
Density functional theory data (GGA-PBE) for a relaxed structure of SiPb2Cl.

Geometry as CIF:
```
data_SiPb2Cl
_chemical_formula_sum 'Si4 Pb8 Cl4'
_space_group_name_H-M_alt 'F -4 3 m'
_space_group_IT_number 216
_space_group_name_Hall 'F -4 2 3'
_cell_length_a 7.415
_cell_length_b 7.415
_cell_length_c 7.415
_cell_angle_alpha 90.00
_cell_angle_beta 90.00
_cell_angle_gamma 90.00
loop_
_atom_site_label
_atom_site_type_symbol
_atom_site_fract_x
_atom_site_fract_y
_atom_site_fract_z
Si1 Si 0.000 0.000 0.000
Pb1 Pb 0.000 0.000 0.500
Pb2 Pb 0.250 0.250 0.750
Cl1 Cl 0.250 0.250 0.250
```

Model R:
Density functional theory data (GGA-PBE) for a relaxed structure of SiPb2Cl.

Geometry as CIF:
```
data_SiPb2Cl
_chemical_formula_sum 'Si2 Pb4 Cl2'
_space_group_name_H-M_alt 'C m m 2'
_space_group_IT_number 35
_cell_length_a 4.312
_cell_length_b 5.410
_cell_length_c 9.489
_cell_angle_alpha 90.00
_cell_angle_beta 90.00
_cell_angle_gamma 90.00
loop_
_space_group_symop_operation_xyz
'x,y,z'
'-x,-y,z'
'-x,y,z'
'x,-y,z'
'x+1/2,y+1/2,z'
'-x+1/2,-y+1/2,z'
'-x+1/2,y+1/2,z'
'x+1/2,-y+1/2,z'
loop_
_atom_site_label
_atom_site_type_symbol
_atom_site_fract_x
_atom_site_fract_y
_atom_site_fract_z
Si1 Si 0.000 0.000 0.000
Pb1 Pb 0.000 0.000 0.503
Pb2 Pb 0.000 0.500 0.207
Cl1 Cl 0.000 0.500 0.707
```

Model S:
Density functional theory data (GGA-PBE) for a relaxed structure of SiPb2Cl.

Geometry as CIF:
```
data_SiPb2Cl
_chemical_formula_sum 'Si1 Pb2 Cl1'
_space_group_name_H-M_alt 'P 1 2/m 1'
_space_group_IT_number 10
_cell_length_a 3.572
_cell_length_b 3.542
_cell_length_c 8.125
_cell_angle_alpha 90.00
_cell_angle_beta 90.16
_cell_angle_gamma 90.00
loop_
_space_group_symop_operation_xyz
'x,y,z'
'-x,-y,-z'
'-x,y,-z'
'x,-y,z'
loop_
_atom_site_label
_atom_site_type_symbol
_atom_site_fract_x
_atom_site_fract_y
_atom_site_fract_z
Si1 Si 0.000 0.000 0.000
Pb1 Pb 0.499 0.500 0.769
Cl1 Cl 0.000 0.000 0.500
```

Bottom line: model S, by a margin of 87 meV/atom.

Model P:
Density functional theory data (GGA-PBE) for a relaxed structure of SiPb2Cl.

Geometry as CIF:
```
data_SiPb2Cl
_chemical_formula_sum 'Si3 Pb6 Cl3'
_space_group_name_H-M_alt 'R -3 m'
_space_group_IT_number 166
_space_group_name_Hall '-R 3 2"'
_cell_length_a 3.6560
_cell_length_b 3.6560
_cell_length_c 27.5677
_cell_angle_alpha 90.00
_cell_angle_beta 90.00
_cell_angle_gamma 120.00
loop_
_atom_site_label
_atom_site_type_symbol
_atom_site_fract_x
_atom_site_fract_y
_atom_site_fract_z
Si1 Si 0.0000 0.0000 0.0000
Pb1 Pb 0.0000 0.0000 0.2528
Cl1 Cl 0.0000 0.0000 0.5000
```

Model Q:
Density functional theory data (GGA-PBE) for a relaxed structure of SiPb2Cl.

Geometry as CIF:
```
data_SiPb2Cl
_chemical_formula_sum 'Si4 Pb8 Cl4'
_space_group_name_H-M_alt 'I -4 2 d'
_space_group_IT_number 122
_space_group_name_Hall 'I -4 2bw'
_cell_length_a 6.737
_cell_length_b 6.737
_cell_length_c 13.393
_cell_angle_alpha 90.00
_cell_angle_beta 90.00
_cell_angle_gamma 90.00
loop_
_atom_site_label
_atom_site_type_symbol
_atom_site_fract_x
_atom_site_fract_y
_atom_site_fract_z
Si1 Si 0.000 0.000 0.000
Pb1 Pb 0.221 0.250 0.125
Cl1 Cl 0.000 0.000 0.500
```

Bottom line: model P, by a margin of 110 meV/atom.

Model P:
Density functional theory data (GGA-PBE) for a relaxed structure of SiPbCl.

Geometry as CIF:
```
data_SiPbCl
_chemical_formula_sum 'Si4 Pb4 Cl4'
_space_group_name_H-M_alt 'F -4 3 m'
_space_group_IT_number 216
_space_group_name_Hall 'F -4 2 3'
_cell_length_a 6.976
_cell_length_b 6.976
_cell_length_c 6.976
_cell_angle_alpha 90.00
_cell_angle_beta 90.00
_cell_angle_gamma 90.00
loop_
_atom_site_label
_atom_site_type_symbol
_atom_site_fract_x
_atom_site_fract_y
_atom_site_fract_z
Si1 Si 0.000 0.000 0.000
Pb1 Pb 0.250 0.250 0.750
Cl1 Cl 0.000 0.000 0.500
```

Model Q:
Density functional theory data (GGA-PBE) for a relaxed structure of SiPbCl.

Geometry as CIF:
```
data_SiPbCl
_chemical_formula_sum 'Si1 Pb1 Cl1'
_space_group_name_H-M_alt 'P -6 m 2'
_space_group_IT_number 187
_space_group_name_Hall 'P -6 2'
_cell_length_a 4.9813
_cell_length_b 4.9813
_cell_length_c 3.2794
_cell_angle_alpha 90.00
_cell_angle_beta 90.00
_cell_angle_gamma 120.00
loop_
_atom_site_label
_atom_site_type_symbol
_atom_site_fract_x
_atom_site_fract_y
_atom_site_fract_z
Si1 Si 0.0000 0.0000 0.0000
Pb1 Pb 0.3333 0.6667 0.5000
Cl1 Cl 0.6667 0.3333 0.0000
```

Model R:
Density functional theory data (GGA-PBE) for a relaxed structure of SiPbCl.

Geometry as CIF:
```
data_SiPbCl
_chemical_formula_sum 'Si1 Pb1 Cl1'
_space_group_name_H-M_alt 'P 3 m 1'
_space_group_IT_number 156
_cell_length_a 3.4413
_cell_length_b 3.4413
_cell_length_c 7.2192
_cell_angle_alpha 90.00
_cell_angle_beta 90.00
_cell_angle_gamma 120.00
loop_
_space_group_symop_operation_xyz
'x,y,z'
'-y,x-y,z'
'-x+y,-x,z'
'-y,-x,z'
'-x+y,y,z'
'x,x-y,z'
loop_
_atom_site_label
_atom_site_type_symbol
_atom_site_fract_x
_atom_site_fract_y
_atom_site_fract_z
Si1 Si 0.0000 0.0000 0.0000
Pb1 Pb 0.3333 0.6667 0.6776
Cl1 Cl 0.6667 0.3333 0.2447
```

Model S:
Density functional theory data (GGA-PBE) for a relaxed structure of SiPbCl.

Geometry as CIF:
```
data_SiPbCl
_chemical_formula_sum 'Si4 Pb4 Cl4'
_space_group_name_H-M_alt 'F m m 2'
_space_group_IT_number 42
_space_group_name_Hall 'F 2 -2'
_cell_length_a 3.342
_cell_length_b 5.817
_cell_length_c 15.007
_cell_angle_alpha 90.00
_cell_angle_beta 90.00
_cell_angle_gamma 90.00
loop_
_atom_site_label
_atom_site_type_symbol
_atom_site_fract_x
_atom_site_fract_y
_atom_site_fract_z
Si1 Si 0.000 0.000 0.000
Pb1 Pb 0.000 0.000 0.673
Cl1 Cl 0.000 0.000 0.374
```

Bottom line: model R, by a margin of 26 meV/atom.

Model P:
Density functional theory data (GGA-PBE) for a relaxed structure of SiPbCl.

Geometry as CIF:
```
data_SiPbCl
_chemical_formula_sum 'Si2 Pb2 Cl2'
_space_group_name_H-M_alt 'I m m 2'
_space_group_IT_number 44
_cell_length_a 3.550
_cell_length_b 4.817
_cell_length_c 10.121
_cell_angle_alpha 90.00
_cell_angle_beta 90.00
_cell_angle_gamma 90.00
loop_
_space_group_symop_operation_xyz
'x,y,z'
'-x,-y,z'
'-x,y,z'
'x,-y,z'
'x+1/2,y+1/2,z+1/2'
'-x+1/2,-y+1/2,z+1/2'
'-x+1/2,y+1/2,z+1/2'
'x+1/2,-y+1/2,z+1/2'
loop_
_atom_site_label
_atom_site_type_symbol
_atom_site_fract_x
_atom_site_fract_y
_atom_site_fract_z
Si1 Si 0.000 0.000 0.000
Pb1 Pb 0.000 0.000 0.468
Cl1 Cl 0.000 0.000 0.777
```

Model Q:
Density functional theory data (GGA-PBE) for a relaxed structure of SiPbCl.

Geometry as CIF:
```
data_SiPbCl
_chemical_formula_sum 'Si2 Pb2 Cl2'
_space_group_name_H-M_alt 'I 4 m m'
_space_group_IT_number 107
_space_group_name_Hall 'I 4 -2'
_cell_length_a 3.330
_cell_length_b 3.330
_cell_length_c 13.151
_cell_angle_alpha 90.00
_cell_angle_beta 90.00
_cell_angle_gamma 90.00
loop_
_atom_site_label
_atom_site_type_symbol
_atom_site_fract_x
_atom_site_fract_y
_atom_site_fract_z
Si1 Si 0.000 0.000 0.000
Pb1 Pb 0.000 0.000 0.659
Cl1 Cl 0.000 0.000 0.367
```

Model R:
Density functional theory data (GGA-PBE) for a relaxed structure of SiPbCl.

Geometry as CIF:
```
data_SiPbCl
_chemical_formula_sum 'Si4 Pb4 Cl4'
_space_group_name_H-M_alt 'F -4 3 m'
_space_group_IT_number 216
_space_group_name_Hall 'F -4 2 3'
_cell_length_a 6.809
_cell_length_b 6.809
_cell_length_c 6.809
_cell_angle_alpha 90.00
_cell_angle_beta 90.00
_cell_angle_gamma 90.00
loop_
_atom_site_label
_atom_site_type_symbol
_atom_site_fract_x
_atom_site_fract_y
_atom_site_fract_z
Si1 Si 0.000 0.000 0.000
Pb1 Pb 0.250 0.250 0.250
Cl1 Cl 0.250 0.250 0.750
```

Bottom line: model P, by a margin of 200 meV/atom.